# SrLa3Os

A relaxed SrLa3Os crystal (PBE-GGA, the Alexandria database).

a b c (Å): 5.450 5.450 5.450
angles (deg): 90.00 90.00 90.00
Positions (direct):
Sr1 0.000 0.000 0.000
La1 0.000 0.000 0.500
La2 0.000 0.500 0.000
La3 0.500 0.000 0.000
Os1 0.500 0.500 0.500

Results
Space group ... Pm-3m, No. 221
M_tot ... 0.01 μB/f.u.
Energy relative to the elements ... 42.58 kcal/mol of atoms